Record 1
Below is a relaxed structure of Rb2PmNp2Se6, with properties calculated at the PBE level.

Geometry as extended XYZ:
```
11
Lattice="3.660 -6.367 0.000 3.660 6.367 0.000 -2.399 0.000 8.168" Properties=species:S:1:pos:R:3 pbc="T T T"
Rb 3.660 4.269 0.000
Rb 3.660 -4.269 0.000
Pm -1.199 0.000 4.084
Np 2.460 2.115 4.084
Np 2.460 -2.115 4.084
Se 0.047 2.186 5.645
Se 1.305 0.000 2.515
Se 0.047 -2.186 5.645
Se 4.873 2.186 2.524
Se 3.615 0.000 5.654
Se 4.873 -2.186 2.524
```

SG   C2/m, No. 12
Raw formation energy   -1.403 eV/atom
D(E_F)   1.757 states/eV per atom

---

Record 2
Below is a relaxed structure of CaTmTlAu, with properties calculated at the PBE level.

Geometry as extended XYZ:
```
4
Lattice="3.695 0.000 0.000 0.000 3.695 0.000 0.000 0.000 7.499" Properties=species:S:1:pos:R:3 pbc="T T T"
Ca 0.000 0.000 0.000
Tm 0.000 0.000 3.445
Tl 1.848 1.848 5.418
Au 1.848 1.848 1.971
```

SG   P4mm, No. 99
Energy above the lowest structure with this stoichiometry   0.000 eV/atom
Energy of formation from the pure elements   -242 kJ/mol of formula units
D(E_F)   0.360 states/eV per atom

---

Record 3
Below is a relaxed structure of BeSn2O, with properties calculated at the PBE level.

Geometry as extended XYZ:
```
4
Lattice="0.000 3.198 3.198 3.198 0.000 3.198 3.198 3.198 0.000" Properties=species:S:1:pos:R:3 pbc="T T T"
Be 0.000 0.000 0.000
Sn 1.599 1.599 1.599
Sn 4.797 4.797 4.797
O 3.198 3.198 3.198
```

SG   Fm-3m, No. 225
Energy above the lowest structure with this stoichiometry   0.468 eV/atom
Raw formation energy   0.248 eV/atom
D(E_F)   0.339 states/eV per atom

---

Record 4
Below is a relaxed structure of Na2Ca2La, with properties calculated at the PBE level.

Geometry as extended XYZ:
```
10
Lattice="9.796 0.000 0.000 0.000 9.796 0.000 0.000 0.000 3.996" Properties=species:S:1:pos:R:3 pbc="T T T"
Na 1.169 3.729 0.000
Na 3.729 8.627 0.000
Na 6.066 1.169 0.000
Na 8.627 6.066 0.000
Ca 1.781 6.678 1.998
Ca 3.117 1.781 1.998
Ca 6.678 8.015 1.998
Ca 8.015 3.117 1.998
La 0.000 0.000 0.000
La 4.898 4.898 0.000
```

SG   P4/mbm, No. 127
Energy above the lowest structure with this stoichiometry   0.000 eV/atom
Energy of formation from the pure elements   89 kJ/mol of formula units
D(E_F)   1.450 states/eV per atom

---

Record 5
Below is a relaxed structure of Lu2S3, with properties calculated at the PBE level.

Geometry as extended XYZ:
```
30
Lattice="6.744 0.000 0.000 -3.372 5.841 0.000 0.000 0.000 18.490" Properties=species:S:1:pos:R:3 pbc="T T T"
Lu 0.000 0.000 0.000
Lu 0.000 0.000 3.730
Lu 0.000 0.000 9.245
Lu 0.000 0.000 12.975
Lu 0.000 3.894 0.648
Lu 0.000 3.894 6.241
Lu 0.000 3.894 9.893
Lu 0.000 3.894 15.486
Lu 3.372 1.947 0.648
Lu 3.372 1.947 6.241
Lu 3.372 1.947 9.893
Lu 3.372 1.947 15.486
S -1.017 1.762 1.788
S -1.129 1.956 14.250
S -1.240 2.148 8.133
S -2.132 3.693 17.378
S -2.243 3.885 5.005
S -2.355 4.079 11.033
S 2.034 0.000 1.788
S 1.017 1.762 11.033
S 2.258 0.000 14.250
S 1.129 1.956 5.005
S 2.480 0.000 8.133
S 1.240 2.148 17.378
S 4.264 0.000 17.378
S 2.132 3.693 8.133
S 4.486 0.000 5.005
S 2.243 3.885 14.250
S 4.710 0.000 11.033
S 2.355 4.079 1.788
```

SG   P6_3cm, No. 185
Raw formation energy   -2.019 eV/atom
D(E_F)   0.000 states/eV per atom

---

Record 6
Below is a relaxed structure of MnPbAu2, with properties calculated at the PBE level.

Geometry as extended XYZ:
```
4
Lattice="1.652 0.954 8.917 -1.652 0.954 8.917 0.000 -1.907 8.917" Properties=species:S:1:pos:R:3 pbc="T T T"
Mn 0.000 0.000 0.000
Pb 0.000 0.000 13.375
Au 0.000 0.000 7.031
Au 0.000 0.000 19.720
```

SG   R-3m, No. 166
Energy of formation from the pure elements   27 kJ/mol of formula units
D(E_F)   0.363 states/eV per atom

---

Record 7
Below is a relaxed structure of Sc4TcHg, with properties calculated at the PBE level.

Geometry as extended XYZ:
```
6
Lattice="0.000 3.937 3.937 3.937 0.000 3.937 3.937 3.937 0.000" Properties=species:S:1:pos:R:3 pbc="T T T"
Sc 0.969 0.969 0.969
Sc 2.968 2.968 0.969
Sc 2.968 0.969 2.968
Sc 0.969 2.968 2.968
Tc 5.905 5.905 5.905
Hg 3.937 3.937 3.937
```

SG   F-43m, No. 216
Energy above the lowest structure with this stoichiometry   0.671 eV/atom
Energy of formation from the pure elements   233 kJ/mol of formula units
D(E_F)   1.044 states/eV per atom

---

Record 8
Below is a relaxed structure of Pr3SmSn12, with properties calculated at the PBE level.

Geometry as extended XYZ:
```
16
Lattice="4.802 0.000 0.000 0.000 4.802 0.000 0.000 0.000 18.949" Properties=species:S:1:pos:R:3 pbc="T T T"
Pr 0.000 0.000 0.000
Pr 0.000 0.000 4.760
Pr 0.000 0.000 14.189
Sm 0.000 0.000 9.475
Sn 0.000 2.401 2.382
Sn 0.000 2.401 7.147
Sn 0.000 2.401 11.802
Sn 0.000 2.401 16.567
Sn 2.401 0.000 2.382
Sn 2.401 0.000 7.147
Sn 2.401 0.000 11.802
Sn 2.401 0.000 16.567
Sn 2.401 2.401 0.000
Sn 2.401 2.401 4.763
Sn 2.401 2.401 9.475
Sn 2.401 2.401 14.186
```

SG   P4/mmm, No. 123
Energy of formation from the pure elements   -774 kJ/mol of formula units
D(E_F)   0.594 states/eV per atom

---

Question: Which formula does entry 4 have?
Answer: Na2Ca2La